Record 1
The following is a GGA-PBE calculation of a relaxed Zn2MoP2 crystal, from Alexandria via LeMat-Bulk.

Cell: 6.2643 6.2643 3.7719 Å, 90.00 90.00 90.00°
Element x y z (fractional)
P  0.3716  0.8716  0.0000
P  0.8716  0.6284  0.0000
P  0.6284  0.1284  0.0000
P  0.1284  0.3716  0.0000
Mo  0.0000  0.0000  0.0000
Mo  0.5000  0.5000  0.0000
Zn  0.1845  0.6845  0.5000
Zn  0.6845  0.8155  0.5000
Zn  0.8155  0.3155  0.5000
Zn  0.3155  0.1845  0.5000

ρ (g/cm3): 6.48
DOS at the Fermi energy (states/eV/f.u.): 1.4
Total DFT energy (no corrections) (eV per atom): -4.8770
V (Å³ per atom): 14.80
Space-group type: P4/mbm (127)

Record 2
The following is a GGA-PBE calculation of a relaxed Pu2ThFe crystal, from Alexandria via LeMat-Bulk.

Cell: 3.4904 3.4904 7.4479 Å, 90.00 90.00 90.00°
Each line ends with the local moment (μB).
Element x y z (fractional)
Fe  0.5000  0.5000  0.0000  -2.03
Th  0.5000  0.5000  0.5000  0.02
Pu  0.0000  0.0000  0.8000  5.14
Pu  0.0000  0.0000  0.2000  5.14

ρ (g/cm3): 14.20
DOS at the Fermi energy (states/eV/f.u.): 12.8
Total DFT energy (no corrections) (eV per atom): -11.0164
V (Å³ per atom): 22.68
Space-group type: P4/mmm (123)

Record 3
The following is a GGA-PBE calculation of a relaxed BaAlPb2 crystal, from Alexandria via LeMat-Bulk.

Cell: 4.7829 4.7855 5.9428 Å, 90.01 90.00 90.00°
Element x y z (fractional)
Pb  0.0000  0.8752  0.1686
Pb  0.5000  0.3750  0.1686
Ba  0.5000  0.8748  0.6794
Al  0.0000  0.3750  0.4834

ρ (g/cm3): 7.06
DOS at the Fermi energy (states/eV/f.u.): 2.5
Total DFT energy (no corrections) (eV per atom): -3.4750
V (Å³ per atom): 34.01
Space-group type: P4mm (99)

Please write out number 1 again, unchanged.
The following is a GGA-PBE calculation of a relaxed Zn2MoP2 crystal, from Alexandria via LeMat-Bulk.

Cell: 6.2643 6.2643 3.7719 Å, 90.00 90.00 90.00°
Element x y z (fractional)
P  0.3716  0.8716  0.0000
P  0.8716  0.6284  0.0000
P  0.6284  0.1284  0.0000
P  0.1284  0.3716  0.0000
Mo  0.0000  0.0000  0.0000
Mo  0.5000  0.5000  0.0000
Zn  0.1845  0.6845  0.5000
Zn  0.6845  0.8155  0.5000
Zn  0.8155  0.3155  0.5000
Zn  0.3155  0.1845  0.5000

ρ (g/cm3): 6.48
DOS at the Fermi energy (states/eV/f.u.): 1.4
Total DFT energy (no corrections) (eV per atom): -4.8770
V (Å³ per atom): 14.80
Space-group type: P4/mbm (127)

Which of these has the highest DOS at the Fermi energy? Pu2ThFe

The highest ρ belongs to which entry? Pu2ThFe